Run one
First-principles (PBE-GGA) data for crystalline MoS2Br at its relaxed geometry, as listed in Alexandria.

Summary:
SG: No. 225
Volume: 16.36 A^3/atom
Crystal system: cubic

a b c (Å): 4.524 4.524 4.524
angles (deg): 60.00 60.00 60.00
Fractional positions:
1 Mo 0.000 0.000 0.000
2 S 0.250 0.250 0.250
3 S 0.750 0.750 0.750
4 Br 0.500 0.500 0.500


Run two
First-principles (PBE-GGA) data for crystalline MoS2Br at its relaxed geometry, as listed in Alexandria.

Summary:
SG: No. 166
Volume: 21.82 A^3/atom
Crystal system: trigonal

a b c (Å): 12.624 12.624 12.624
angles (deg): 12.91 12.91 12.91
Fractional positions:
1 Mo 0.000 0.000 0.000
2 S 0.063 0.063 0.063
3 S 0.937 0.937 0.937
4 Br 0.500 0.500 0.500


Run three
First-principles (PBE-GGA) data for crystalline MoS2Br at its relaxed geometry, as listed in Alexandria.

Summary:
SG: No. 166
Volume: 20.14 A^3/atom
Crystal system: trigonal

a b c (Å): 8.277 8.277 8.277
angles (deg): 23.72 23.72 23.72
Fractional positions:
1 Mo 0.000 0.000 0.000
2 S 0.394 0.394 0.394
3 S 0.606 0.606 0.606
4 Br 0.500 0.500 0.500


Which structure wins on stability? run three wins.


Run one
First-principles (PBE-GGA) data for crystalline MoSe2SBr at its relaxed geometry, as listed in Alexandria.

Summary:
SG: No. 123
Volume: 24.02 A^3/atom
Crystal system: tetragonal

a b c (Å): 4.898 4.898 5.006
angles (deg): 90.00 90.00 90.00
Fractional positions:
1 Mo 0.000 0.000 0.000
2 Se 0.000 0.500 0.000
3 Se 0.500 0.000 0.000
4 S 0.500 0.500 0.500
5 Br 0.000 0.000 0.500


Run two
First-principles (PBE-GGA) data for crystalline MoSe2SBr at its relaxed geometry, as listed in Alexandria.

Summary:
SG: No. 123
Volume: 23.82 A^3/atom
Crystal system: tetragonal

a b c (Å): 4.956 4.956 4.849
angles (deg): 90.00 90.00 90.00
Fractional positions:
1 Mo 0.000 0.000 0.000
2 Se 0.000 0.500 0.500
3 Se 0.500 0.000 0.500
4 S 0.500 0.500 0.500
5 Br 0.500 0.500 0.000


Which structure wins on stability? run one wins.


Run one
First-principles (PBE-GGA) data for crystalline SbMo3Br at its relaxed geometry, as listed in Alexandria.

Summary:
SG: No. 221
Volume: 24.97 A^3/atom
Crystal system: cubic

a b c (Å): 4.998 4.998 4.998
angles (deg): 90.00 90.00 90.00
Fractional positions:
1 Sb 0.000 0.000 0.000
2 Mo 0.000 0.000 0.500
3 Mo 0.000 0.500 0.000
4 Mo 0.500 0.000 0.000
5 Br 0.500 0.500 0.500


Run two
First-principles (PBE-GGA) data for crystalline SbMo3Br at its relaxed geometry, as listed in Alexandria.

Summary:
SG: No. 221
Volume: 20.40 A^3/atom
Crystal system: cubic

a b c (Å): 4.673 4.673 4.673
angles (deg): 90.00 90.00 90.00
Fractional positions:
1 Sb 0.000 0.000 0.000
2 Mo 0.000 0.500 0.500
3 Mo 0.500 0.000 0.500
4 Mo 0.500 0.500 0.000
5 Br 0.500 0.500 0.500


Which structure wins on stability? run two wins.


Run one
First-principles (PBE-GGA) data for crystalline SbMoBr at its relaxed geometry, as listed in Alexandria.

Summary:
SG: No. 156
Volume: 24.78 A^3/atom
Crystal system: trigonal

a b c (Å): 3.343 3.343 7.680
angles (deg): 90.00 90.00 120.00
Fractional positions:
1 Sb 0.000 0.000 0.000
2 Mo 0.333 0.667 0.733
3 Br 0.667 0.333 0.505


Run two
First-principles (PBE-GGA) data for crystalline SbMoBr at its relaxed geometry, as listed in Alexandria.

Summary:
SG: No. 216
Volume: 24.84 A^3/atom
Crystal system: cubic

a b c (Å): 4.723 4.723 4.723
angles (deg): 60.00 60.00 60.00
Fractional positions:
1 Sb 0.000 0.000 0.000
2 Mo 0.750 0.750 0.750
3 Br 0.500 0.500 0.500


Run three
First-principles (PBE-GGA) data for crystalline SbMoBr at its relaxed geometry, as listed in Alexandria.

Summary:
SG: No. 187
Volume: 21.18 A^3/atom
Crystal system: hexagonal

a b c (Å): 4.708 4.708 3.310
angles (deg): 90.00 90.00 120.00
Fractional positions:
1 Sb 0.000 0.000 0.000
2 Mo 0.667 0.333 0.500
3 Br 0.333 0.667 0.500


Which structure wins on stability? run one wins.


Run one
First-principles (PBE-GGA) data for crystalline SbMoBr at its relaxed geometry, as listed in Alexandria.

Summary:
SG: No. 107
Volume: 24.23 A^3/atom
Crystal system: tetragonal

a b c (Å): 7.463 7.463 7.463
angles (deg): 155.26 155.26 35.27
Fractional positions:
1 Sb 0.000 0.000 0.000
2 Mo 0.371 0.371 0.000
3 Br 0.761 0.761 0.000


Run two
First-principles (PBE-GGA) data for crystalline SbMoBr at its relaxed geometry, as listed in Alexandria.

Summary:
SG: No. 42
Volume: 25.25 A^3/atom
Crystal system: orthorhombic

a b c (Å): 8.847 8.496 3.306
angles (deg): 85.07 73.08 21.86
Fractional positions:
1 Sb 0.000 0.000 0.000
2 Mo 0.642 0.642 0.358
3 Br 0.263 0.263 0.737


Which structure wins on stability? run one wins.


Run one
First-principles (PBE-GGA) data for crystalline SbTe2MoBr at its relaxed geometry, as listed in Alexandria.

Summary:
SG: No. 123
Volume: 33.88 A^3/atom
Crystal system: tetragonal

a b c (Å): 5.589 5.589 5.422
angles (deg): 90.00 90.00 90.00
Fractional positions:
1 Sb 0.000 0.000 0.000
2 Te 0.000 0.500 0.500
3 Te 0.500 0.000 0.500
4 Mo 0.500 0.500 0.000
5 Br 0.000 0.000 0.500


Run two
First-principles (PBE-GGA) data for crystalline SbTe2MoBr at its relaxed geometry, as listed in Alexandria.

Summary:
SG: No. 123
Volume: 29.58 A^3/atom
Crystal system: tetragonal

a b c (Å): 5.239 5.239 5.388
angles (deg): 90.00 90.00 90.00
Fractional positions:
1 Sb 0.000 0.000 0.000
2 Te 0.000 0.500 0.500
3 Te 0.500 0.000 0.500
4 Mo 0.000 0.000 0.500
5 Br 0.500 0.500 0.000


Which structure wins on stability? run two wins.